Compound: MgAg
Source: the Alexandria database
Functional: PBE
Structure: relaxed

a = 10.926 Å, b = 4.804 Å, c = 5.713 Å
α = 90.00°, β = 90.00°, γ = 90.00°
Positions (direct):
Mg (0.062, 0.250, 0.190)
Ag (0.922, 0.750, 0.305)
Mg (0.323, 0.250, 0.967)
Mg (0.823, 0.250, 0.533)
Mg (0.438, 0.750, 0.690)
Ag (0.078, 0.250, 0.695)
Mg (0.938, 0.750, 0.810)
Ag (0.422, 0.750, 0.195)
Ag (0.181, 0.750, 0.968)
Mg (0.677, 0.750, 0.033)
Ag (0.578, 0.250, 0.805)
Mg (0.562, 0.250, 0.310)
Mg (0.177, 0.750, 0.467)
Ag (0.319, 0.250, 0.468)
Ag (0.819, 0.250, 0.032)
Ag (0.681, 0.750, 0.532)

Density of states at the Fermi level = 4.96 states/eV per cell
DFT formation energy = -0.21 eV per atom
Magnetic moment = 0.000 μB per atom
Calculated density = 5.85 g/cm³